First-principles (PBE) data for an optimized crystal structure of ZrTe2Pb, as listed in Alexandria.

## Properties
total magnetization	0.0	μB/f.u.
formation energy (no corrections)	-0.20	eV/atom
symmetry	P4/mmm (123)

a b c (Å): 5.3909 5.3909 3.7240
angles (deg): 90.00 90.00 90.00
Closest atoms and distances in Å follow each position.
Element x y z (fractional)
Zr: 0.0000 0.0000 0.0000  8 Te 3.28
Te: 0.0000 0.5000 0.5000  4 Zr 3.28, 4 Pb 3.28
Te: 0.5000 0.0000 0.5000  4 Zr 3.28, 4 Pb 3.28
Pb: 0.5000 0.5000 0.0000  8 Te 3.28